This record from Alexandria describes crystalline ZnCd3W at its relaxed geometry. The functional is PBE.

Calculated values
**Energy relative to the elements**: 1.261 eV/atom
**Theoretical density**: 5.81 g cm⁻³

abc: 5.515 5.515 5.515
angles: 90.00 90.00 90.00
Space group Pm-3m (No. 221)
Unique sites:
Zn1 0.000 0.000 0.000 [1 per cell]
Cd1 0.000 0.500 0.500 [3 per cell]
W1 0.500 0.500 0.500 [1 per cell]

This record from Alexandria describes crystalline ZnCdW2 at its relaxed geometry. The functional is PBE.

Calculated values
**Energy relative to the elements**: 0.399 eV/atom
**Theoretical density**: 13.30 g cm⁻³

abc: 2.8278 2.8278 29.5103
angles: 90.00 90.00 120.00
Space group R3m (No. 160, hexagonal axes)
Unique sites:
Zn1 0.0000 0.0000 0.0000 [3 per cell]
Cd1 0.0000 0.0000 0.7536 [3 per cell]
W1 0.0000 0.0000 0.2564 [3 per cell]
W2 0.0000 0.0000 0.5086 [3 per cell]

This record from Alexandria describes crystalline ZnCd2W at its relaxed geometry. The functional is PBE.

Calculated values
**Energy relative to the elements**: 0.414 eV/atom
**Theoretical density**: 10.98 g cm⁻³

abc: 10.755 2.838 5.315
angles: 90.00 117.90 90.00
Space group Cm (No. 8)
Unique sites:
Zn1 0.000 0.000 0.000 [2 per cell]
Cd1 0.247 0.000 0.565 [2 per cell]
Cd2 0.489 0.000 0.479 [2 per cell]
W1 0.238 0.500 0.045 [2 per cell]

This record from Alexandria describes crystalline Zn2CdW at its relaxed geometry. The functional is PBE.

Calculated values
**Energy relative to the elements**: 0.355 eV/atom
**Theoretical density**: 11.08 g cm⁻³

abc: 4.093 4.093 3.822
angles: 90.00 90.00 90.00
Space group P4/mmm (No. 123)
Unique sites:
Zn1 0.000 0.500 0.000 [2 per cell]
Cd1 0.000 0.000 0.500 [1 per cell]
W1 0.500 0.500 0.500 [1 per cell]

This record from Alexandria describes crystalline ZnCdW2 at its relaxed geometry. The functional is PBE.

Calculated values
**Energy relative to the elements**: 0.611 eV/atom
**Theoretical density**: 13.55 g cm⁻³

abc: 6.442 6.442 6.442
angles: 90.00 90.00 90.00
Space group F-43m (No. 216)
Unique sites:
Zn1 0.000 0.000 0.000 [4 per cell]
Cd1 0.250 0.250 0.250 [4 per cell]
W1 0.000 0.000 0.500 [4 per cell]
W2 0.250 0.250 0.750 [4 per cell]

This record from Alexandria describes crystalline ZnCdW2 at its relaxed geometry. The functional is PBE.

Calculated values
**Energy relative to the elements**: 0.495 eV/atom
**Theoretical density**: 13.36 g cm⁻³

abc: 2.713 4.276 5.844
angles: 90.00 90.00 90.00
Space group Pmm2 (No. 25)
Unique sites:
Zn1 0.000 0.000 0.000 [1 per cell]
Cd1 0.500 0.500 0.239 [1 per cell]
W1 0.000 0.000 0.530 [1 per cell]
W2 0.500 0.500 0.740 [1 per cell]

Repeat the second record exactly.
This record from Alexandria describes crystalline ZnCdW2 at its relaxed geometry. The functional is PBE.

Calculated values
**Energy relative to the elements**: 0.399 eV/atom
**Theoretical density**: 13.30 g cm⁻³

abc: 2.8278 2.8278 29.5103
angles: 90.00 90.00 120.00
Space group R3m (No. 160, hexagonal axes)
Unique sites:
Zn1 0.0000 0.0000 0.0000 [3 per cell]
Cd1 0.0000 0.0000 0.7536 [3 per cell]
W1 0.0000 0.0000 0.2564 [3 per cell]
W2 0.0000 0.0000 0.5086 [3 per cell]

- Which of these has the highest theoretical density?
  number 5

- Which of these has the lowest energy relative to the elements?
  Zn2CdW

- Number 2 is which compound?
  ZnCdW2